Entry 1:
This record from Alexandria via LeMat-Bulk describes a relaxed TbP2IrRh5 crystal. The functional is PBE.

abc: 4.072 4.072 10.624
angles: 90.00 90.00 90.00
Each line ends with the local moment (μB).
Element x y z (fractional)
1 Tb 0.500 0.500 0.500  0.00
2 P 0.000 0.000 0.791  0.00
3 P 0.000 0.000 0.209  0.00
4 Ir 0.000 0.000 0.000  0.50
5 Rh 0.000 0.000 0.500  0.04
6 Rh 0.000 0.500 0.698  0.02
7 Rh 0.500 0.000 0.302  0.02
8 Rh 0.000 0.500 0.302  0.02
9 Rh 0.500 0.000 0.698  0.02

ΔH_f (0 K) ... -1.43 eV per formula unit
Symmetry ... No. 123

=====

Entry 2:
This record from Alexandria via LeMat-Bulk describes a relaxed La2Tm5Fe2 crystal. The functional is PBE.

abc: 6.980 6.965 10.688
angles: 90.00 70.94 90.00
Each line ends with the local moment (μB).
Element x y z (fractional)
1 La 0.230 0.000 0.540  0.01
2 La 0.730 0.500 0.540  0.01
3 La 0.770 0.000 0.460  0.01
4 La 0.270 0.500 0.460  0.01
5 Tm 0.000 0.000 0.000  -0.16
6 Tm 0.500 0.500 0.000  -0.16
7 Tm 0.423 0.177 0.795  -0.14
8 Tm 0.782 0.823 0.795  -0.14
9 Tm 0.282 0.677 0.795  -0.14
10 Tm 0.923 0.323 0.795  -0.14
11 Tm 0.577 0.823 0.205  -0.14
12 Tm 0.218 0.177 0.205  -0.14
13 Tm 0.718 0.323 0.205  -0.14
14 Tm 0.077 0.677 0.205  -0.14
15 Fe 0.111 0.392 0.000  1.20
16 Fe 0.889 0.608 0.000  1.20
17 Fe 0.389 0.892 0.000  1.20
18 Fe 0.611 0.108 0.000  1.20

ΔH_f (0 K) ... 0.02 eV per formula unit
Symmetry ... No. 64

=====

Entry 3:
This record from Alexandria via LeMat-Bulk describes a relaxed VFeCo3 crystal. The functional is PBE.

abc: 4.664 5.368 5.368
angles: 108.84 90.00 90.00
Each line ends with the local moment (μB).
Element x y z (fractional)
1 V 0.250 0.303 0.697  -1.52
2 V 0.750 0.697 0.303  -1.52
3 Fe 0.000 0.000 0.000  1.85
4 Fe 0.500 0.000 0.000  1.85
5 Co 0.250 0.776 0.224  1.17
6 Co 0.750 0.224 0.776  1.17
7 Co 0.250 0.737 0.638  1.22
8 Co 0.750 0.263 0.362  1.22
9 Co 0.250 0.362 0.263  1.22
10 Co 0.750 0.638 0.737  1.22

ΔH_f (0 K) ... 2.18 eV per formula unit
Energy relative to the lowest polymorph listed for this composition ... 386.3 meV per atom
Symmetry ... No. 63

=====

Entry 4:
This record from Alexandria via LeMat-Bulk describes a relaxed Ba4NaCu crystal. The functional is PBE.

abc: 9.065 8.205 8.686
angles: 90.00 101.12 90.00
Element x y z (fractional)
1 Ba 0.885 0.634 0.168
2 Ba 0.615 0.134 0.832
3 Ba 0.296 0.333 0.380
4 Ba 0.204 0.833 0.620
5 Ba 0.115 0.366 0.832
6 Ba 0.385 0.866 0.168
7 Ba 0.704 0.667 0.620
8 Ba 0.796 0.167 0.380
9 Na 0.000 0.000 0.000
10 Na 0.500 0.500 0.000
11 Cu 0.500 0.000 0.500
12 Cu 0.000 0.500 0.500

ΔH_f (0 K) ... 0.41 eV per formula unit
Symmetry ... No. 14

=====

Entry 5:
This record from Alexandria via LeMat-Bulk describes a relaxed CaSn2Ir2 crystal. The functional is PBE.

abc: 7.880 7.880 3.184
angles: 90.00 90.00 90.00
Element x y z (fractional)
1 Ca 0.000 0.000 0.000
2 Ca 0.500 0.500 0.000
3 Ir 0.364 0.864 0.000
4 Ir 0.864 0.636 0.000
5 Ir 0.636 0.136 0.000
6 Ir 0.136 0.364 0.000
7 Sn 0.157 0.657 0.500
8 Sn 0.657 0.843 0.500
9 Sn 0.843 0.343 0.500
10 Sn 0.343 0.157 0.500

ΔH_f (0 K) ... -1.29 eV per formula unit
Symmetry ... No. 127

=====

Entry 6:
This record from Alexandria via LeMat-Bulk describes a relaxed TaSe crystal. The functional is PBE.

abc: 11.112 11.112 3.471
angles: 90.00 90.00 90.00
Element x y z (fractional)
1 Ta 0.334 0.211 0.000
2 Ta 0.666 0.789 0.000
3 Ta 0.789 0.334 0.000
4 Ta 0.211 0.666 0.000
5 Ta 0.834 0.711 0.500
6 Ta 0.166 0.289 0.500
7 Ta 0.289 0.834 0.500
8 Ta 0.711 0.166 0.500
9 Se 0.436 0.741 0.000
10 Se 0.564 0.259 0.000
11 Se 0.259 0.436 0.000
12 Se 0.741 0.564 0.000
13 Se 0.936 0.241 0.500
14 Se 0.064 0.759 0.500
15 Se 0.759 0.936 0.500
16 Se 0.241 0.064 0.500

Calculated total energy ... -7.806 eV/atom
Symmetry ... No. 87

=====

Entry 7:
This record from Alexandria via LeMat-Bulk describes a relaxed ZrRh2 crystal. The functional is PBE.

abc: 4.337 4.337 4.337
angles: 60.00 60.00 60.00
Element x y z (fractional)
1 Rh 0.750 0.750 0.750
2 Rh 0.250 0.250 0.250
3 Zr 0.000 0.000 0.000

ΔH_f (0 K) ... -0.71 eV per formula unit
Symmetry ... No. 225

=====

Entry 8:
This record from Alexandria via LeMat-Bulk describes a relaxed K3Tl4Hg4 crystal. The functional is PBE.

abc: 5.589 3.783 17.071
angles: 96.36 99.42 90.00
Element x y z (fractional)
1 K 0.359 0.859 0.718
2 K 0.641 0.141 0.282
3 K 0.000 0.000 0.000
4 Tl 0.264 0.264 0.529
5 Tl 0.093 0.593 0.186
6 Tl 0.907 0.407 0.814
7 Tl 0.736 0.736 0.471
8 Hg 0.816 0.316 0.631
9 Hg 0.453 0.453 0.906
10 Hg 0.547 0.547 0.094
11 Hg 0.184 0.684 0.369

ΔH_f (0 K) ... -1.71 eV per formula unit
Symmetry ... No. 71

=====

Entry 9:
This record from Alexandria via LeMat-Bulk describes a relaxed Ce3YEr2As6 crystal. The functional is PBE.

abc: 7.206 7.206 7.187
angles: 99.62 99.62 120.00
Each line ends with the local moment (μB).
Element x y z (fractional)
1 Ce 0.166 0.834 0.500  0.59
2 Ce 0.834 0.166 0.500  0.59
3 Ce 0.500 0.500 0.500  0.59
4 Y 0.000 0.000 0.000  0.01
5 Er 0.333 0.667 0.000  0.00
6 Er 0.667 0.333 0.000  0.00
7 As 0.919 0.584 0.756  -0.02
8 As 0.746 0.746 0.244  -0.02
9 As 0.081 0.416 0.244  -0.02
10 As 0.584 0.919 0.756  -0.02
11 As 0.254 0.254 0.756  -0.02
12 As 0.416 0.081 0.244  -0.02

ΔH_f (0 K) ... -17.74 eV per formula unit
Symmetry ... No. 12

=====

Entry 10:
This record from Alexandria via LeMat-Bulk describes a relaxed Y6Tl2Rh crystal. The functional is PBE.

abc: 6.678 7.936 10.151
angles: 90.00 89.89 90.00
Element x y z (fractional)
1 Y 0.892 0.979 0.243
2 Y 0.834 0.682 0.549
3 Y 0.839 0.686 0.955
4 Y 0.661 0.186 0.545
5 Y 0.666 0.182 0.951
6 Y 0.608 0.479 0.257
7 Y 0.108 0.021 0.757
8 Y 0.166 0.318 0.451
9 Y 0.161 0.314 0.045
10 Y 0.339 0.814 0.455
11 Y 0.334 0.818 0.049
12 Y 0.392 0.521 0.743
13 Tl 0.943 0.396 0.748
14 Tl 0.557 0.896 0.752
15 Tl 0.443 0.104 0.248
16 Tl 0.057 0.604 0.252
17 Rh 0.500 0.500 0.000
18 Rh 0.000 0.000 0.500

ΔH_f (0 K) ... -2.86 eV per formula unit
Symmetry ... No. 14

=====

Entry 11:
This record from Alexandria via LeMat-Bulk describes a relaxed Mn3H3Ru crystal. The functional is PBE.

abc: 3.750 5.368 5.368
angles: 88.79 90.00 90.00
Each line ends with the local moment (μB).
Element x y z (fractional)
1 Mn 0.750 0.377 0.128  1.66
2 Mn 0.750 0.874 0.126  -1.87
3 Mn 0.750 0.872 0.623  1.66
4 Mn 0.250 0.623 0.872  1.66
5 Mn 0.250 0.126 0.874  -1.87
6 Mn 0.250 0.128 0.377  1.66
7 H 0.250 0.369 0.119  -0.01
8 H 0.250 0.882 0.118  0.01
9 H 0.250 0.881 0.631  -0.01
10 H 0.750 0.631 0.881  -0.01
11 H 0.750 0.118 0.882  0.01
12 H 0.750 0.119 0.369  -0.01
13 Ru 0.250 0.628 0.372  -0.25
14 Ru 0.750 0.372 0.628  -0.25

Calculated total energy ... -6.701 eV/atom
Symmetry ... No. 63

=====

Entry 12:
This record from Alexandria via LeMat-Bulk describes a relaxed SbPWCl2 crystal. The functional is PBE.

abc: 5.039 5.039 5.462
angles: 90.00 90.00 90.00
Each line ends with the local moment (μB).
Element x y z (fractional)
1 Sb 0.000 0.000 0.000  0.02
2 P 0.000 0.000 0.500  -0.21
3 W 0.500 0.500 0.500  3.40
4 Cl 0.000 0.500 0.000  0.03
5 Cl 0.500 0.000 0.000  0.03

Energy relative to the lowest polymorph listed for this composition ... 827.2 meV per atom
Symmetry ... No. 123